[1]
Ba2YGe2 | PBE-GGA | relaxed

Values from the calculation:
- Space group: P4/mbm (127)
- Total DFT energy (no corrections): -4.3861 eV/atom
- Energy of formation: -0.48 eV per atom

Lattice parameters (Å, degrees): 7.9015 7.9015 5.2678 90.00 90.00 90.00
Last column: nearest neighbours and their distance in Å.
Fractional positions:
1 Ba 0.1706 0.3294 0.0000  6 Ge 3.51-3.53, 1 Ba 3.81
2 Ba 0.3294 0.8294 0.0000  6 Ge 3.51-3.53, 1 Ba 3.81
3 Ba 0.6706 0.1706 0.0000  6 Ge 3.51-3.53, 1 Ba 3.81
4 Ba 0.8294 0.6706 0.0000  6 Ge 3.51-3.53, 1 Ba 3.81
5 Y 0.0000 0.0000 0.5000  4 Ge 3.15
6 Y 0.5000 0.5000 0.5000  4 Ge 3.15
7 Ge 0.1190 0.6190 0.5000  1 Ge 2.66
8 Ge 0.3810 0.1190 0.5000  1 Ge 2.66
9 Ge 0.6190 0.8810 0.5000  1 Ge 2.66
10 Ge 0.8810 0.3810 0.5000  1 Ge 2.66

***

[2]
AcLa14Cd | PBE-GGA | relaxed

Values from the calculation:
- Space group: Amm2 (38)
- Total DFT energy (no corrections): -4.6555 eV/atom
- Energy of formation: -0.03 eV per atom

Lattice parameters (Å, degrees): 10.5126 7.3891 7.3891 89.96 90.00 90.00
Last column: nearest neighbours and their distance in Å.
Fractional positions:
1 Ac 0.0000 0.0000 0.0000  12 La 3.69-3.75
2 La 0.0000 0.5012 0.9976  8 La 3.68-3.69, 2 Cd 3.68-3.71, 2 Ac 3.69-3.70
3 La 0.0000 0.9976 0.5012  8 La 3.68-3.69, 2 Cd 3.68-3.71, 2 Ac 3.69-3.70
4 La 0.2456 0.2580 0.2580  10 La 3.58-3.81, 1 Cd 3.61, 1 Ac 3.73
5 La 0.2468 0.2583 0.7419  10 La 3.58-3.81, 1 Cd 3.62, 1 Ac 3.74
6 La 0.2468 0.7419 0.2583  10 La 3.58-3.81, 1 Cd 3.62, 1 Ac 3.74
7 La 0.2480 0.7422 0.7422  10 La 3.58-3.81, 1 Cd 3.64, 1 Ac 3.75
8 La 0.5000 0.0002 0.0002  12 La 3.69-3.80
9 La 0.5000 0.0011 0.4990  12 La 3.69-3.73
10 La 0.5000 0.4990 0.0011  12 La 3.69-3.73
11 La 0.5000 0.4999 0.4999  12 La 3.66-3.70
12 La 0.7520 0.7422 0.7422  10 La 3.58-3.81, 1 Cd 3.64, 1 Ac 3.75
13 La 0.7532 0.2583 0.7419  10 La 3.58-3.81, 1 Cd 3.62, 1 Ac 3.74
14 La 0.7532 0.7419 0.2583  10 La 3.58-3.81, 1 Cd 3.62, 1 Ac 3.74
15 La 0.7544 0.2580 0.2580  10 La 3.58-3.81, 1 Cd 3.61, 1 Ac 3.73
16 Cd 0.0000 0.4998 0.4998  12 La 3.61-3.71

***

[3]
Tm7Pt2Rh2 | PBE-GGA | relaxed

Values from the calculation:
- Space group: Imm2 (44)
- Total DFT energy (no corrections): -6.1704 eV/atom
- Energy of formation: -0.89 eV per atom

Lattice parameters (Å, degrees): 8.8858 8.8858 8.8858 154.76 67.78 118.27
Last column: nearest neighbours and their distance in Å.
Fractional positions:
1 Tm 0.0000 0.0000 0.0000  3 Pt 2.84-3.08
2 Tm 0.0741 0.3874 0.6868  3 Rh 2.79-2.93, 1 Pt 2.95
3 Tm 0.1274 0.7599 0.3675  2 Pt 2.85, 2 Rh 2.95
4 Tm 0.3923 0.7599 0.6325  2 Pt 2.85, 2 Rh 2.95
5 Tm 0.4826 0.5975 0.8851  2 Rh 2.90, 3 Pt 2.91-3.03
6 Tm 0.7006 0.3874 0.3132  3 Rh 2.79-2.93, 1 Pt 2.95
7 Tm 0.7124 0.5975 0.1149  2 Rh 2.90, 3 Pt 2.91-3.03
8 Pt 0.3383 0.3383 0.0000  7 Tm 2.85-3.08
9 Pt 0.7731 0.2731 0.5000  8 Tm 2.84-3.03
10 Rh 0.3288 0.0893 0.2395  7 Tm 2.79-2.95
11 Rh 0.8498 0.0893 0.7605  7 Tm 2.79-2.95

***

[4]
Dy8Er3Sc4 | PBE-GGA | relaxed

Values from the calculation:
- Space group: C2/m (12)
- Total DFT energy (no corrections): -4.6687 eV/atom
- Energy of formation: 0.39 eV per atom

Lattice parameters (Å, degrees): 8.7850 8.7850 6.5810 108.91 108.91 84.38
Last column: nearest neighbours and their distance in Å.
Fractional positions:
1 Dy 0.2028 0.2028 0.1654  4 Dy 3.23-3.51, 2 Er 3.29, 3 Sc 3.52-3.57
2 Dy 0.2042 0.7958 0.0000  2 Er 3.30, 4 Dy 3.36-3.38, 3 Sc 3.49-3.51
3 Dy 0.2606 0.7394 0.5000  1 Sc 2.82, 1 Er 3.08
4 Dy 0.2661 0.2661 0.6982  1 Sc 2.82, 1 Er 3.12
5 Dy 0.7339 0.7339 0.3018  1 Sc 2.82, 1 Er 3.12
6 Dy 0.7394 0.2606 0.5000  1 Sc 2.82, 1 Er 3.08
7 Dy 0.7958 0.2042 0.0000  2 Er 3.30, 4 Dy 3.36-3.38, 3 Sc 3.49-3.51
8 Dy 0.7972 0.7972 0.8346  4 Dy 3.23-3.51, 2 Er 3.29, 3 Sc 3.52-3.57
9 Er 0.0000 0.0000 0.5000  4 Dy 3.08-3.12
10 Er 0.0000 0.5000 0.0000  2 Sc 3.29, 8 Dy 3.29-3.61
11 Er 0.5000 0.0000 0.0000  2 Sc 3.29, 8 Dy 3.29-3.61
12 Sc 0.0000 0.5000 0.5000  8 Dy 3.19-3.57, 2 Er 3.29
13 Sc 0.5000 0.0000 0.5000  8 Dy 3.19-3.57, 2 Er 3.29
14 Sc 0.5000 0.5000 0.0000  2 Dy 2.82
15 Sc 0.5000 0.5000 0.5000  2 Dy 2.82